# 1
Below is Li3Nd2Au4 after structural relaxation, with properties calculated at the PBE level.

```
Li3Nd2Au4
1.0
-5.3061 1.5894 -2.1426
2.4027 -1.8484 -7.3214
0.0612 -8.1057 2.0665
Li Au Nd
6 8 4
Direct
0.9645 0.2500 0.4291
0.4645 0.2500 0.4291
0.0000 0.0000 0.0000
0.5355 0.7500 0.5709
0.5000 0.5000 0.0000
0.0355 0.7500 0.5709
0.8139 0.0395 0.6279
0.2964 0.2500 0.0928
0.7964 0.2500 0.0928
0.7036 0.7500 0.9072
0.6861 0.5395 0.3721
0.2036 0.7500 0.9072
0.1861 0.9605 0.3721
0.3139 0.4605 0.6279
0.8848 0.4153 0.7696
0.1152 0.5847 0.2304
0.3848 0.0847 0.7696
0.6152 0.9153 0.2304
```

Computed properties:
ΔE_f   -599 meV/atom
DOS(E_F)   6.1 states/eV/f.u.

---

# 2
Below is Er3Tl2In3Co after structural relaxation, with properties calculated at the PBE level.

```
Er3Tl2In3Co
1.0
4.3710 0.0000 0.0000
0.0000 7.5072 0.0000
0.0000 -3.7536 6.5014
Er Tl In Co
3 2 3 1
Direct
0.0000 0.3838 0.0000
0.0000 0.6162 0.6162
0.0000 0.0000 0.3838
0.5000 0.3333 0.6667
0.5000 0.6667 0.3333
0.5000 0.7688 0.0000
0.5000 0.0000 0.7688
0.5000 0.2312 0.2312
0.0000 0.0000 0.0000
```

Computed properties:
ΔE_f   -315 meV/atom
DOS(E_F)   3.8 states/eV/f.u.

---

# 3
Below is Sm3P2Pt9 after structural relaxation, with properties calculated at the PBE level.

```
Sm3P2Pt9
1.0
6.2510 0.0000 0.0000
-3.1255 5.4135 0.0000
0.0000 0.0000 15.3468
Pt P Sm
18 4 6
Direct
0.9693 0.4847 0.7500
0.4847 0.5153 0.2500
0.7014 0.8507 0.9229
0.1493 0.2986 0.5771
0.2986 0.1493 0.0771
0.8507 0.7014 0.4229
0.8507 0.7014 0.0771
0.8507 0.1493 0.4229
0.1493 0.2986 0.9229
0.4847 0.9693 0.2500
0.2986 0.1493 0.4229
0.7014 0.8507 0.5771
0.5153 0.0307 0.7500
0.1493 0.8507 0.5771
0.8507 0.1493 0.0771
0.1493 0.8507 0.9229
0.0307 0.5153 0.2500
0.5153 0.4847 0.7500
0.6667 0.3333 0.1502
0.3333 0.6667 0.8498
0.3333 0.6667 0.6502
0.6667 0.3333 0.3498
0.3333 0.6667 0.0765
0.0000 0.0000 0.7500
0.0000 0.0000 0.2500
0.3333 0.6667 0.4235
0.6667 0.3333 0.5765
0.6667 0.3333 0.9235
```

Computed properties:
ΔE_f   -870 meV/atom
DOS(E_F)   5.4 states/eV/f.u.

---

# 4
Below is SiPOs2 after structural relaxation, with properties calculated at the PBE level.

```
SiPOs2
1.0
3.7187 -0.0901 -1.9323
2.6716 -3.1438 0.7414
0.7487 -2.8592 -2.9724
P Os Si
1 2 1
Direct
0.5000 0.5000 0.5000
0.7500 0.7500 0.7500
0.2500 0.2500 0.2500
0.0000 0.0000 0.0000
```

Computed properties:
E above lowest polymorph   104 meV per atom
DOS(E_F)   1.4 states/eV/f.u.

---

# 5
Below is SbTeOs2 after structural relaxation, with properties calculated at the PBE level.

```
SbTeOs2
1.0
-0.1431 -3.1114 -0.1123
4.7544 -0.3090 2.5024
-2.1006 -0.0472 3.9852
Os Te Sb
2 1 1
Direct
0.0000 0.0000 0.0000
0.5000 0.5000 0.0000
0.0000 0.5000 0.5000
0.5000 0.0000 0.5000
```

Computed properties:
E above lowest polymorph   757 meV per atom
DOS(E_F)   5.3 states/eV/f.u.

---

# 6
Below is HfMgH2 after structural relaxation, with properties calculated at the PBE level.

```
HfMgH2
1.0
0.5951 1.4560 3.6637
-3.1165 0.9566 2.2955
-0.8789 -2.2188 3.1940
H Mg Hf
2 1 1
Direct
0.7500 0.7500 0.7500
0.2500 0.2500 0.2500
0.0000 0.0000 0.0000
0.5000 0.5000 0.5000
```

Computed properties:
E above lowest polymorph   606 meV per atom
DOS(E_F)   1.1 states/eV/f.u.

---

# 7
Below is SrAl8Cu4 after structural relaxation, with properties calculated at the PBE level.

```
SrAl8Cu4
1.0
0.7898 -4.0109 3.1507
-4.2747 -5.1770 -1.2916
4.5590 -4.4173 -2.5388
Al Sr Cu
8 1 4
Direct
0.0000 0.6500 0.3500
0.5000 0.2229 0.7771
0.3500 0.6500 0.6500
0.2771 0.2229 0.2229
0.0000 0.3500 0.6500
0.7229 0.7771 0.7771
0.5000 0.7771 0.2229
0.6500 0.3500 0.3500
0.0000 0.0000 0.0000
0.5000 0.0000 0.5000
0.0000 0.5000 0.0000
0.5000 0.5000 0.0000
0.0000 0.0000 0.5000
```

Computed properties:
ΔE_f   -240 meV/atom
DOS(E_F)   3.7 states/eV/f.u.

---

# 8
Below is Pm2AlGa6Pd after structural relaxation, with properties calculated at the PBE level.

```
Pm2AlGa6Pd
1.0
-4.7247 -2.4549 -3.5444
-4.6128 -3.4569 2.7719
-9.4101 7.7601 1.3977
Pm Ga Pd Al
4 12 2 2
Direct
0.8924 0.8924 0.3229
0.7156 0.7156 0.8533
0.2844 0.2844 0.1467
0.1076 0.1076 0.6771
0.6505 0.2284 0.8928
0.3299 0.9386 0.4016
0.2284 0.2284 0.8928
0.9386 0.3299 0.4016
0.0614 0.6701 0.5984
0.3495 0.7716 0.1072
0.6701 0.0614 0.5984
0.6701 0.6701 0.5984
0.7716 0.3495 0.1072
0.2284 0.6505 0.8928
0.7716 0.7716 0.1072
0.3299 0.3299 0.4016
0.5000 0.5000 0.5000
0.0000 0.0000 0.0000
0.5724 0.5724 0.2827
0.4276 0.4276 0.7173
```

Computed properties:
ΔE_f   -412 meV/atom
DOS(E_F)   5.0 states/eV/f.u.

---

# 9
Below is Nd4SbAs2P after structural relaxation, with properties calculated at the PBE level.

```
Nd4SbAs2P
1.0
4.3073 0.0000 0.0000
0.0000 7.4602 -0.1470
0.0000 2.6258 7.0101
Nd As Sb P
4 2 1 1
Direct
0.0000 0.2422 0.2627
0.5000 0.7505 0.2596
0.0000 0.7578 0.7373
0.5000 0.2495 0.7404
0.0000 0.0000 0.0000
0.5000 0.0000 0.5000
0.5000 0.5000 0.0000
0.0000 0.5000 0.5000
```

Computed properties:
Total energy   -6.141 eV per atom
DOS(E_F)   0.7 states/eV/f.u.

---

# 10
Below is KCe2Co after structural relaxation, with properties calculated at the PBE level.

```
KCe2Co
1.0
3.9284 0.0000 0.0000
1.9642 3.4021 0.0000
1.9642 1.1340 10.8975
Co Ce K
1 2 1
Direct
0.5000 0.5000 0.5000
0.8766 0.8766 0.3702
0.1234 0.1234 0.6298
0.0000 0.0000 0.0000
```

Computed properties:
ΔE_f   122 meV/atom
DOS(E_F)   11.2 states/eV/f.u.

---

# 11
Below is La2NiAs after structural relaxation, with properties calculated at the PBE level.

```
La2NiAs
1.0
-3.1933 -0.8563 2.7277
-2.4730 -1.2227 -3.2790
2.0302 -5.6896 0.5905
La As Ni
2 1 1
Direct
0.0000 0.0000 0.8752
0.5000 0.5000 0.3750
0.5000 0.5000 0.8750
0.0000 0.0000 0.3748
```

Computed properties:
ΔE_f   -756 meV/atom
DOS(E_F)   3.5 states/eV/f.u.

---

# 12
Below is Ce5ZnRh4 after structural relaxation, with properties calculated at the PBE level.

```
Ce5ZnRh4
1.0
4.3208 0.0000 0.0000
0.0000 6.4971 -1.8245
-2.1604 -2.8269 8.6483
Zn Ce Rh
1 5 4
Direct
0.5000 0.0000 0.0000
0.1603 0.3296 0.3207
0.8345 0.2325 0.6691
0.5000 0.5000 0.0000
0.1655 0.7675 0.3309
0.8397 0.6704 0.6793
0.9783 0.1880 0.9566
0.0217 0.8120 0.0434
0.6590 0.0473 0.3180
0.3410 0.9527 0.6820
```

Computed properties:
ΔE_f   -512 meV/atom
DOS(E_F)   20.3 states/eV/f.u.

---

# 13
Below is CsK2NaSn after structural relaxation, with properties calculated at the PBE level.

```
CsK2NaSn
1.0
6.9147 0.0000 0.0000
0.0000 6.9147 0.0000
0.0000 0.0000 6.2256
K Cs Sn Na
2 1 1 1
Direct
0.5000 0.0000 0.0000
0.0000 0.5000 0.0000
0.5000 0.5000 0.5000
0.0000 0.0000 0.0000
0.0000 0.0000 0.5000
```

Computed properties:
ΔE_f   -33 meV/atom
DOS(E_F)   3.1 states/eV/f.u.

---

# 14
Below is PuTl2Cl7 after structural relaxation, with properties calculated at the PBE level.

```
PuTl2Cl7
1.0
7.5350 0.0000 3.6746
3.1421 8.5552 3.1197
-0.1627 -0.5612 9.8965
Cl Tl Pu
14 4 2
Direct
0.9877 0.9636 0.7062
0.0123 0.0364 0.2938
0.6575 0.5364 0.7938
0.5651 0.2500 0.7500
0.9641 0.6523 0.1132
0.0359 0.3477 0.8868
0.2489 0.8489 0.9734
0.3425 0.4636 0.2062
0.4349 0.7500 0.2500
0.7296 0.8477 0.3868
0.9288 0.3489 0.4734
0.7511 0.1511 0.0266
0.2704 0.1523 0.6132
0.0712 0.6511 0.5266
0.3622 0.0887 0.3061
0.7570 0.4113 0.1939
0.2430 0.5887 0.8061
0.6378 0.9113 0.6939
0.8753 0.2500 0.7500
0.1247 0.7500 0.2500
```

Computed properties:
Total energy   -4.415 eV per atom
DOS(E_F)   9.5 states/eV/f.u.

---

# 15
Below is Zr2IrPt after structural relaxation, with properties calculated at the PBE level.

```
Zr2IrPt
1.0
-3.2423 0.6405 2.8017
-1.3538 -2.9934 -0.8824
2.0761 -3.8157 3.2748
Zr Ir Pt
2 1 1
Direct
0.5000 0.2653 0.3419
0.0000 0.9815 0.9148
0.0000 0.7184 0.4375
0.5000 0.5349 0.8058
```

Computed properties:
ΔE_f   -970 meV/atom
DOS(E_F)   2.8 states/eV/f.u.

---

# 16
Below is TbPrCdAu after structural relaxation, with properties calculated at the PBE level.

```
TbPrCdAu
1.0
-1.5808 -1.7795 -4.7350
-4.6591 -2.4799 -0.4783
-4.0175 2.3704 -2.5154
Au Cd Pr Tb
1 1 1 1
Direct
0.2500 0.2500 0.2500
0.7500 0.7500 0.7500
0.0000 0.0000 0.0000
0.5000 0.5000 0.5000
```

Computed properties:
ΔE_f   -518 meV/atom
E above lowest polymorph   41 meV per atom
DOS(E_F)   2.8 states/eV/f.u.

---

# 17
Below is PmUSb2 after structural relaxation, with properties calculated at the PBE level.

```
PmUSb2
1.0
4.2145 0.0000 1.1934
1.9383 3.7423 1.1934
0.0588 0.0357 7.8308
Sb Pm U
2 1 1
Direct
0.2520 0.2520 0.2439
0.7480 0.7480 0.7561
0.5000 0.5000 0.5000
0.0000 0.0000 0.0000
```

Computed properties:
E above lowest polymorph   0 meV per atom
DOS(E_F)   4.0 states/eV/f.u.

---

# 18
Below is Ag2PbBr4 after structural relaxation, with properties calculated at the PBE level.

```
Ag2PbBr4
1.0
-0.1005 -3.7787 -2.5543
-0.7801 -1.9888 7.0643
-7.1551 1.6673 -2.1969
Ag Pb Br
2 1 4
Direct
0.3431 0.6869 0.4158
0.6569 0.3131 0.5842
0.0000 0.0000 0.0000
0.8685 0.7380 0.6134
0.1315 0.2620 0.3866
0.3732 0.7478 0.0894
0.6268 0.2522 0.9106
```

Computed properties:
E above lowest polymorph   0 meV per atom
DOS(E_F)   0.0 states/eV/f.u.

---

# 19
Below is Co2TeOs after structural relaxation, with properties calculated at the PBE level.

```
Co2TeOs
1.0
8.2694 0.0107 0.0063
7.7528 2.8771 0.0063
7.7528 1.3974 2.5150
Os Co Te
1 2 1
Direct
0.2500 0.2500 0.2500
0.5027 0.5027 0.5027
0.9973 0.9973 0.9973
0.7500 0.7500 0.7500
```

Computed properties:
Total energy   -6.503 eV per atom
DOS(E_F)   5.0 states/eV/f.u.

---

# 20
Below is GdYIr2 after structural relaxation, with properties calculated at the PBE level.

```
GdYIr2
1.0
-0.3985 -0.0444 3.5813
-4.4321 -1.6738 -0.5139
1.6697 -4.4614 0.1304
Ir Y Gd
2 1 1
Direct
0.0000 0.0000 0.5000
0.0000 0.5000 0.0000
0.5000 0.0000 0.0000
0.5000 0.5000 0.5000
```

Computed properties:
ΔE_f   -757 meV/atom
E above lowest polymorph   0 meV per atom
DOS(E_F)   0.7 states/eV/f.u.

---

# 21
Below is YSi2Hg after structural relaxation, with properties calculated at the PBE level.

```
YSi2Hg
1.0
3.8651 0.0000 0.0000
0.0000 3.8651 0.0000
0.0000 0.0000 6.1841
Hg Y Si
1 1 2
Direct
0.5000 0.5000 0.7500
0.5000 0.5000 0.2500
0.0000 0.0000 0.0580
0.0000 0.0000 0.4420
```

Computed properties:
Total energy   -4.422 eV per atom
DOS(E_F)   3.4 states/eV/f.u.

---

# 22
Below is La3Pm2Nd after structural relaxation, with properties calculated at the PBE level.

```
La3Pm2Nd
1.0
-5.9827 6.7585 0.8932
0.2189 1.1585 -7.2993
-4.9185 -4.7302 2.8466
La Nd Pm
6 2 4
Direct
0.3312 0.1661 0.3323
0.3312 0.6677 0.8339
0.6688 0.8339 0.6677
0.6688 0.8339 0.1661
0.6688 0.3323 0.1661
0.3312 0.1661 0.8339
0.3306 0.6667 0.3333
0.6694 0.3333 0.6667
0.0000 0.5000 0.0000
0.0000 0.0000 0.5000
0.0000 0.0000 0.0000
0.0000 0.5000 0.5000
```

Computed properties:
ΔE_f   13 meV/atom
DOS(E_F)   9.7 states/eV/f.u.

---

# 23
Below is Tb2CeUN4 after structural relaxation, with properties calculated at the PBE level.

```
Tb2CeUN4
1.0
4.9509 0.0027 0.0000
-0.0023 4.9509 0.0000
-2.4743 -2.4768 4.9300
Tb N Ce U
2 4 1 1
Direct
0.0000 0.0000 0.0000
0.2500 0.7500 0.5000
0.5184 0.0184 0.0367
0.7505 0.7505 0.5010
0.9816 0.4816 0.9633
0.2495 0.2495 0.4990
0.5000 0.5000 0.0000
0.7500 0.2500 0.5000
```

Computed properties:
Total energy   -9.008 eV per atom
DOS(E_F)   6.8 states/eV/f.u.

---

# 24
Below is BaCdRh after structural relaxation, with properties calculated at the PBE level.

```
BaCdRh
1.0
0.0000 3.5419 3.5419
3.5419 0.0000 3.5419
3.5419 3.5419 0.0000
Cd Ba Rh
1 1 1
Direct
0.5000 0.5000 0.5000
0.0000 0.0000 0.0000
0.2500 0.2500 0.2500
```

Computed properties:
ΔE_f   -46 meV/atom
DOS(E_F)   3.4 states/eV/f.u.